# Cs4Ac3SnO8 | Alexandria via LeMat-Bulk | PBE | optimized geometry
# ΔE_f (raw): -2.137 eV/atom
# Uncorrected energy: -5.8505 eV per atom
data_Cs4Ac3SnO8
_chemical_formula_sum 'Cs4 Ac3 Sn1 O8'
_cell_length_a 7.670
_cell_length_b 8.280
_cell_length_c 7.670
_cell_angle_alpha 117.59
_cell_angle_beta 120.00
_cell_angle_gamma 90.00
_space_group_name_H-M_alt 'P 1'
_space_group_IT_number 1
loop_
_space_group_symop_operation_xyz
'x,y,z'
loop_
_atom_site_label
_atom_site_type_symbol
_atom_site_fract_x
_atom_site_fract_y
_atom_site_fract_z
Cs1 Cs 0.500 0.000 0.000
Cs2 Cs 0.500 0.000 0.500
Cs3 Cs 0.000 0.000 0.000
Cs4 Cs 0.000 0.000 0.500
Ac1 Ac 0.500 0.500 0.000
Ac2 Ac 0.500 0.500 0.500
Ac3 Ac 0.000 0.500 0.500
Sn1 Sn 0.000 0.500 0.000
O1 O 0.217 0.673 0.956
O2 O 0.218 0.674 0.435
O3 O 0.275 0.326 0.551
O4 O 0.739 0.673 0.956
O5 O 0.261 0.327 0.044
O6 O 0.725 0.674 0.449
O7 O 0.782 0.326 0.565
O8 O 0.783 0.327 0.044

---

# Cs2Ac2SnO6 | Alexandria via LeMat-Bulk | PBE | optimized geometry
# ΔE_f (raw): -2.246 eV/atom
# Uncorrected energy: -6.2168 eV per atom
data_Cs2Ac2SnO6
_chemical_formula_sum 'Cs2 Ac2 Sn1 O6'
_cell_length_a 6.352
_cell_length_b 6.352
_cell_length_c 7.327
_cell_angle_alpha 97.05
_cell_angle_beta 97.05
_cell_angle_gamma 119.21
_space_group_name_H-M_alt 'P 1'
_space_group_IT_number 1
loop_
_space_group_symop_operation_xyz
'x,y,z'
loop_
_atom_site_label
_atom_site_type_symbol
_atom_site_fract_x
_atom_site_fract_y
_atom_site_fract_z
Cs1 Cs 0.837 0.163 0.000
Cs2 Cs 0.163 0.837 0.000
Ac1 Ac 0.336 0.664 0.500
Ac2 Ac 0.664 0.336 0.500
Sn1 Sn 0.000 0.000 0.500
O1 O 0.767 0.767 0.665
O2 O 0.041 0.339 0.656
O3 O 0.233 0.233 0.335
O4 O 0.339 0.041 0.656
O5 O 0.959 0.661 0.344
O6 O 0.661 0.959 0.344

---

# CsAc2SnO5 | Alexandria via LeMat-Bulk | PBE | optimized geometry
# ΔE_f (raw): -2.284 eV/atom
# Uncorrected energy: -6.4911 eV per atom
data_CsAc2SnO5
_chemical_formula_sum 'Cs2 Ac4 Sn2 O10'
_cell_length_a 6.400
_cell_length_b 7.343
_cell_length_c 7.343
_cell_angle_alpha 90.00
_cell_angle_beta 90.00
_cell_angle_gamma 90.00
_space_group_name_H-M_alt 'P 1'
_space_group_IT_number 1
loop_
_space_group_symop_operation_xyz
'x,y,z'
loop_
_atom_site_label
_atom_site_type_symbol
_atom_site_fract_x
_atom_site_fract_y
_atom_site_fract_z
Cs1 Cs 0.000 0.500 0.500
Cs2 Cs 0.000 0.000 0.000
Ac1 Ac 0.500 0.682 0.182
Ac2 Ac 0.500 0.182 0.318
Ac3 Ac 0.500 0.818 0.682
Ac4 Ac 0.500 0.318 0.818
Sn1 Sn 0.000 0.000 0.500
Sn2 Sn 0.000 0.500 0.000
O1 O 0.500 0.500 0.500
O2 O 0.500 0.000 0.000
O3 O 0.256 0.133 0.633
O4 O 0.256 0.867 0.367
O5 O 0.256 0.367 0.133
O6 O 0.256 0.633 0.867
O7 O 0.744 0.133 0.633
O8 O 0.744 0.633 0.867
O9 O 0.744 0.867 0.367
O10 O 0.744 0.367 0.133

---

# Cs2AcTa2O7 | Alexandria via LeMat-Bulk | PBE | optimized geometry
# ΔE_f (raw): -2.714 eV/atom
# Uncorrected energy: -8.0661 eV per atom
data_Cs2AcTa2O7
_chemical_formula_sum 'Cs2 Ac1 Ta2 O7'
_cell_length_a 4.105
_cell_length_b 4.105
_cell_length_c 12.556
_cell_angle_alpha 80.59
_cell_angle_beta 80.59
_cell_angle_gamma 90.00
_space_group_name_H-M_alt 'P 1'
_space_group_IT_number 1
loop_
_space_group_symop_operation_xyz
'x,y,z'
loop_
_atom_site_label
_atom_site_type_symbol
_atom_site_fract_x
_atom_site_fract_y
_atom_site_fract_z
Cs1 Cs 0.811 0.811 0.378
Cs2 Cs 0.189 0.189 0.622
Ac1 Ac 0.000 0.000 0.000
Ta1 Ta 0.587 0.587 0.827
Ta2 Ta 0.413 0.413 0.173
O1 O 0.500 0.500 0.000
O2 O 0.337 0.337 0.326
O3 O 0.663 0.663 0.674
O4 O 0.925 0.425 0.151
O5 O 0.425 0.925 0.151
O6 O 0.575 0.075 0.849
O7 O 0.075 0.575 0.849

---

# CsAcTaO4 | Alexandria via LeMat-Bulk | PBE | optimized geometry
# ΔE_f (raw): -2.570 eV/atom
# Uncorrected energy: -7.8049 eV per atom
data_CsAcTaO4
_chemical_formula_sum 'Cs2 Ac2 Ta2 O8'
_cell_length_a 6.422
_cell_length_b 6.167
_cell_length_c 9.320
_cell_angle_alpha 90.00
_cell_angle_beta 105.66
_cell_angle_gamma 90.00
_space_group_name_H-M_alt 'P 1'
_space_group_IT_number 1
loop_
_space_group_symop_operation_xyz
'x,y,z'
loop_
_atom_site_label
_atom_site_type_symbol
_atom_site_fract_x
_atom_site_fract_y
_atom_site_fract_z
Cs1 Cs 0.304 0.750 0.889
Cs2 Cs 0.696 0.250 0.111
Ac1 Ac 0.766 0.750 0.459
Ac2 Ac 0.234 0.250 0.541
Ta1 Ta 0.214 0.750 0.316
Ta2 Ta 0.786 0.250 0.684
O1 O 0.966 0.483 0.656
O2 O 0.034 0.983 0.344
O3 O 0.034 0.517 0.344
O4 O 0.966 0.017 0.656
O5 O 0.454 0.750 0.232
O6 O 0.546 0.250 0.768
O7 O 0.402 0.750 0.511
O8 O 0.598 0.250 0.489